No. 1
# PBE RbSr3Pd, relaxed
data_RbSr3Pd
_chemical_formula_sum 'Rb1 Sr3 Pd1'
_symmetry_space_group_name_H-M 'P 1'
_symmetry_Int_Tables_number 1
_cell_length_a 6.214
_cell_length_b 6.214
_cell_length_c 6.214
_cell_angle_alpha 90.00
_cell_angle_beta 90.00
_cell_angle_gamma 90.00
loop_
_symmetry_equiv_pos_as_xyz
'x,y,z'
loop_
_atom_site_label
_atom_site_type_symbol
_atom_site_fract_x
_atom_site_fract_y
_atom_site_fract_z
Rb1 Rb 0.000 0.000 0.000
Sr1 Sr 0.000 0.500 0.500
Sr2 Sr 0.500 0.000 0.500
Sr3 Sr 0.500 0.500 0.000
Pd1 Pd 0.500 0.500 0.500
# - formation energy (eV per atom) = -0.230
# - E above lowest polymorph (meV/atom) = 20

***

No. 2
# PBE RbSr2Pd, relaxed
data_RbSr2Pd
_chemical_formula_sum 'Rb1 Sr2 Pd1'
_symmetry_space_group_name_H-M 'P 1'
_symmetry_Int_Tables_number 1
_cell_length_a 12.297
_cell_length_b 12.297
_cell_length_c 12.297
_cell_angle_alpha 20.98
_cell_angle_beta 20.98
_cell_angle_gamma 20.98
loop_
_symmetry_equiv_pos_as_xyz
'x,y,z'
loop_
_atom_site_label
_atom_site_type_symbol
_atom_site_fract_x
_atom_site_fract_y
_atom_site_fract_z
Rb1 Rb 0.000 0.000 0.000
Sr1 Sr 0.122 0.122 0.122
Sr2 Sr 0.878 0.878 0.878
Pd1 Pd 0.500 0.500 0.500
# - formation energy (eV per atom) = -0.254
# - E above lowest polymorph (meV/atom) = 0

***

No. 3
# PBE RbSr3Pd, relaxed
data_RbSr3Pd
_chemical_formula_sum 'Rb2 Sr6 Pd2'
_symmetry_space_group_name_H-M 'P 1'
_symmetry_Int_Tables_number 1
_cell_length_a 6.245
_cell_length_b 6.245
_cell_length_c 12.434
_cell_angle_alpha 90.00
_cell_angle_beta 90.00
_cell_angle_gamma 120.00
loop_
_symmetry_equiv_pos_as_xyz
'x,y,z'
loop_
_atom_site_label
_atom_site_type_symbol
_atom_site_fract_x
_atom_site_fract_y
_atom_site_fract_z
Rb1 Rb 0.333 0.667 0.250
Rb2 Rb 0.667 0.333 0.750
Sr1 Sr 0.000 0.000 0.250
Sr2 Sr 0.000 0.000 0.750
Sr3 Sr 0.333 0.667 0.567
Sr4 Sr 0.333 0.667 0.933
Sr5 Sr 0.667 0.333 0.067
Sr6 Sr 0.667 0.333 0.433
Pd1 Pd 0.000 0.000 0.000
Pd2 Pd 0.000 0.000 0.500
# - formation energy (eV per atom) = -0.011
# - E above lowest polymorph (meV/atom) = 239

***

No. 4
# PBE RbSr3Pd, relaxed
data_RbSr3Pd
_chemical_formula_sum 'Rb1 Sr3 Pd1'
_symmetry_space_group_name_H-M 'P 1'
_symmetry_Int_Tables_number 1
_cell_length_a 4.450
_cell_length_b 8.173
_cell_length_c 8.173
_cell_angle_alpha 64.73
_cell_angle_beta 90.00
_cell_angle_gamma 90.00
loop_
_symmetry_equiv_pos_as_xyz
'x,y,z'
loop_
_atom_site_label
_atom_site_type_symbol
_atom_site_fract_x
_atom_site_fract_y
_atom_site_fract_z
Rb1 Rb 0.000 0.000 0.000
Sr1 Sr 0.000 0.530 0.530
Sr2 Sr 0.500 0.006 0.507
Sr3 Sr 0.500 0.507 0.006
Pd1 Pd 0.500 0.392 0.392
# - formation energy (eV per atom) = -0.004
# - E above lowest polymorph (meV/atom) = 246

***

No. 5
# PBE RbSr3Pd, relaxed
data_RbSr3Pd
_chemical_formula_sum 'Rb1 Sr3 Pd1'
_symmetry_space_group_name_H-M 'P 1'
_symmetry_Int_Tables_number 1
_cell_length_a 6.361
_cell_length_b 6.361
_cell_length_c 6.361
_cell_angle_alpha 90.00
_cell_angle_beta 90.00
_cell_angle_gamma 90.00
loop_
_symmetry_equiv_pos_as_xyz
'x,y,z'
loop_
_atom_site_label
_atom_site_type_symbol
_atom_site_fract_x
_atom_site_fract_y
_atom_site_fract_z
Rb1 Rb 0.000 0.000 0.000
Sr1 Sr 0.000 0.000 0.500
Sr2 Sr 0.000 0.500 0.000
Sr3 Sr 0.500 0.000 0.000
Pd1 Pd 0.500 0.500 0.500
# - formation energy (eV per atom) = 1.193
# - E above lowest polymorph (meV/atom) = 1443

***

No. 6
# PBE RbSr3Pd, relaxed
data_RbSr3Pd
_chemical_formula_sum 'Rb2 Sr6 Pd2'
_symmetry_space_group_name_H-M 'P 1'
_symmetry_Int_Tables_number 1
_cell_length_a 7.810
_cell_length_b 7.810
_cell_length_c 13.036
_cell_angle_alpha 115.15
_cell_angle_beta 115.15
_cell_angle_gamma 46.35
loop_
_symmetry_equiv_pos_as_xyz
'x,y,z'
loop_
_atom_site_label
_atom_site_type_symbol
_atom_site_fract_x
_atom_site_fract_y
_atom_site_fract_z
Rb1 Rb 0.126 0.126 0.433
Rb2 Rb 0.874 0.874 0.567
Sr1 Sr 0.138 0.138 0.944
Sr2 Sr 0.375 0.375 0.293
Sr3 Sr 0.383 0.383 0.836
Sr4 Sr 0.617 0.617 0.164
Sr5 Sr 0.625 0.625 0.707
Sr6 Sr 0.862 0.862 0.056
Pd1 Pd 0.381 0.381 0.070
Pd2 Pd 0.619 0.619 0.930
# - formation energy (eV per atom) = -0.230
# - E above lowest polymorph (meV/atom) = 20

***

No. 7
# PBE RbSr3Pd, relaxed
data_RbSr3Pd
_chemical_formula_sum 'Rb1 Sr3 Pd1'
_symmetry_space_group_name_H-M 'P 1'
_symmetry_Int_Tables_number 1
_cell_length_a 4.525
_cell_length_b 6.130
_cell_length_c 9.169
_cell_angle_alpha 90.00
_cell_angle_beta 90.11
_cell_angle_gamma 90.00
loop_
_symmetry_equiv_pos_as_xyz
'x,y,z'
loop_
_atom_site_label
_atom_site_type_symbol
_atom_site_fract_x
_atom_site_fract_y
_atom_site_fract_z
Rb1 Rb 0.000 0.000 0.000
Sr1 Sr 0.000 0.000 0.500
Sr2 Sr 0.499 0.500 0.279
Sr3 Sr 0.501 0.500 0.721
Pd1 Pd 0.000 0.500 0.500
# - formation energy (eV per atom) = -0.250
# - E above lowest polymorph (meV/atom) = 0

***

No. 8
# PBE Rb3SrPd, relaxed
data_Rb3SrPd
_chemical_formula_sum 'Rb3 Sr1 Pd1'
_symmetry_space_group_name_H-M 'P 1'
_symmetry_Int_Tables_number 1
_cell_length_a 6.730
_cell_length_b 6.730
_cell_length_c 6.730
_cell_angle_alpha 90.00
_cell_angle_beta 90.00
_cell_angle_gamma 90.00
loop_
_symmetry_equiv_pos_as_xyz
'x,y,z'
loop_
_atom_site_label
_atom_site_type_symbol
_atom_site_fract_x
_atom_site_fract_y
_atom_site_fract_z
Rb1 Rb 0.000 0.000 0.500
Rb2 Rb 0.000 0.500 0.000
Rb3 Rb 0.500 0.000 0.000
Sr1 Sr 0.500 0.500 0.500
Pd1 Pd 0.000 0.000 0.000
# - formation energy (eV per atom) = 0.234
# - E above lowest polymorph (meV/atom) = 0

***

No. 9
# PBE RbSrPd3, relaxed
data_RbSrPd3
_chemical_formula_sum 'Rb1 Sr1 Pd3'
_symmetry_space_group_name_H-M 'P 1'
_symmetry_Int_Tables_number 1
_cell_length_a 5.323
_cell_length_b 5.323
_cell_length_c 5.323
_cell_angle_alpha 90.00
_cell_angle_beta 90.00
_cell_angle_gamma 90.00
loop_
_symmetry_equiv_pos_as_xyz
'x,y,z'
loop_
_atom_site_label
_atom_site_type_symbol
_atom_site_fract_x
_atom_site_fract_y
_atom_site_fract_z
Rb1 Rb 0.000 0.000 0.000
Sr1 Sr 0.500 0.500 0.500
Pd1 Pd 0.000 0.000 0.500
Pd2 Pd 0.000 0.500 0.000
Pd3 Pd 0.500 0.000 0.000
# - formation energy (eV per atom) = 0.754
# - E above lowest polymorph (meV/atom) = 260

***

No. 10
# PBE RbSrPd3, relaxed
data_RbSrPd3
_chemical_formula_sum 'Rb1 Sr1 Pd3'
_symmetry_space_group_name_H-M 'P 1'
_symmetry_Int_Tables_number 1
_cell_length_a 5.493
_cell_length_b 5.493
_cell_length_c 5.493
_cell_angle_alpha 90.00
_cell_angle_beta 90.00
_cell_angle_gamma 90.00
loop_
_symmetry_equiv_pos_as_xyz
'x,y,z'
loop_
_atom_site_label
_atom_site_type_symbol
_atom_site_fract_x
_atom_site_fract_y
_atom_site_fract_z
Rb1 Rb 0.000 0.000 0.000
Sr1 Sr 0.500 0.500 0.500
Pd1 Pd 0.000 0.500 0.500
Pd2 Pd 0.500 0.000 0.500
Pd3 Pd 0.500 0.500 0.000
# - formation energy (eV per atom) = 0.494
# - E above lowest polymorph (meV/atom) = 0

***

No. 11
# PBE RbSr3Pd, relaxed
data_RbSr3Pd
_chemical_formula_sum 'Rb2 Sr6 Pd2'
_symmetry_space_group_name_H-M 'P 1'
_symmetry_Int_Tables_number 1
_cell_length_a 17.216
_cell_length_b 17.216
_cell_length_c 17.216
_cell_angle_alpha 158.98
_cell_angle_beta 158.98
_cell_angle_gamma 29.90
loop_
_symmetry_equiv_pos_as_xyz
'x,y,z'
loop_
_atom_site_label
_atom_site_type_symbol
_atom_site_fract_x
_atom_site_fract_y
_atom_site_fract_z
Rb1 Rb 0.000 0.000 0.000
Rb2 Rb 0.750 0.250 0.500
Sr1 Sr 0.365 0.123 0.242
Sr2 Sr 0.433 0.433 0.000
Sr3 Sr 0.567 0.567 0.000
Sr4 Sr 0.877 0.119 0.242
Sr5 Sr 0.877 0.635 0.758
Sr6 Sr 0.881 0.123 0.758
Pd1 Pd 0.097 0.597 0.500
Pd2 Pd 0.403 0.903 0.500
# - formation energy (eV per atom) = 0.472
# - E above lowest polymorph (meV/atom) = 722

***

No. 12
# PBE Rb3SrPd, relaxed
data_Rb3SrPd
_chemical_formula_sum 'Rb3 Sr1 Pd1'
_symmetry_space_group_name_H-M 'P 1'
_symmetry_Int_Tables_number 1
_cell_length_a 7.897
_cell_length_b 7.897
_cell_length_c 7.897
_cell_angle_alpha 90.00
_cell_angle_beta 90.00
_cell_angle_gamma 90.00
loop_
_symmetry_equiv_pos_as_xyz
'x,y,z'
loop_
_atom_site_label
_atom_site_type_symbol
_atom_site_fract_x
_atom_site_fract_y
_atom_site_fract_z
Rb1 Rb 0.000 0.000 0.500
Rb2 Rb 0.000 0.500 0.000
Rb3 Rb 0.500 0.000 0.000
Sr1 Sr 0.000 0.000 0.000
Pd1 Pd 0.500 0.500 0.500
# - formation energy (eV per atom) = 0.931
# - E above lowest polymorph (meV/atom) = 698